No. 1
A PBEsol-optimized structure of Sm5Pb4. Source: Alexandria, functional SCAN.

Total energy ... -2132.2 eV per cell
Volume ... 29.73 A^3/atom
Total moment ... 0.00 μB per cell
E_form ... -0.8571 eV/atom
SG ... Pnma (62)

Cell and atoms, written as CIF:
```
data_Sm5Pb4
_cell_length_a 8.199
_cell_length_b 15.675
_cell_length_c 8.328
_cell_angle_alpha 90.00
_cell_angle_beta 90.00
_cell_angle_gamma 90.00
_symmetry_space_group_name_H-M 'P 1'
_symmetry_Int_Tables_number 1
loop_
_symmetry_equiv_pos_as_xyz
'x,y,z'
loop_
_atom_site_label
_atom_site_type_symbol
_atom_site_fract_x
_atom_site_fract_y
_atom_site_fract_z
Sm1 Sm 0.024 0.099 0.178
Sm2 Sm 0.024 0.401 0.178
Sm3 Sm 0.129 0.621 0.341
Sm4 Sm 0.129 0.879 0.341
Sm5 Sm 0.202 0.250 0.503
Sm6 Sm 0.298 0.750 0.003
Sm7 Sm 0.371 0.121 0.841
Sm8 Sm 0.371 0.379 0.841
Sm9 Sm 0.476 0.599 0.678
Sm10 Sm 0.476 0.901 0.678
Sm11 Sm 0.524 0.099 0.322
Sm12 Sm 0.524 0.401 0.322
Sm13 Sm 0.629 0.621 0.159
Sm14 Sm 0.629 0.879 0.159
Sm15 Sm 0.702 0.250 0.997
Sm16 Sm 0.798 0.750 0.497
Sm17 Sm 0.871 0.121 0.659
Sm18 Sm 0.871 0.379 0.659
Sm19 Sm 0.976 0.599 0.822
Sm20 Sm 0.976 0.901 0.822
Pb1 Pb 0.066 0.250 0.879
Pb2 Pb 0.166 0.750 0.649
Pb3 Pb 0.213 0.042 0.537
Pb4 Pb 0.213 0.458 0.537
Pb5 Pb 0.287 0.542 0.037
Pb6 Pb 0.287 0.958 0.037
Pb7 Pb 0.334 0.250 0.149
Pb8 Pb 0.434 0.750 0.379
Pb9 Pb 0.566 0.250 0.621
Pb10 Pb 0.666 0.750 0.851
Pb11 Pb 0.713 0.042 0.963
Pb12 Pb 0.713 0.458 0.963
Pb13 Pb 0.787 0.542 0.463
Pb14 Pb 0.787 0.958 0.463
Pb15 Pb 0.834 0.250 0.351
Pb16 Pb 0.934 0.750 0.121
```

***

No. 2
A PBEsol-optimized structure of Sr3ScNb. Source: Alexandria, functional SCAN.

Energy above the lowest structure with this stoichiometry ... 225 meV/atom
Total energy ... -107.5 eV per cell
Volume ... 42.30 A^3/atom
Total moment ... 0.86 μB per cell
E_form ... 1.3343 eV/atom
SG ... Pm-3m (221)

Cell and atoms, written as CIF:
```
data_Sr3ScNb
_cell_length_a 5.958
_cell_length_b 5.958
_cell_length_c 5.958
_cell_angle_alpha 90.00
_cell_angle_beta 90.00
_cell_angle_gamma 90.00
_symmetry_space_group_name_H-M 'P 1'
_symmetry_Int_Tables_number 1
loop_
_symmetry_equiv_pos_as_xyz
'x,y,z'
loop_
_atom_site_label
_atom_site_type_symbol
_atom_site_fract_x
_atom_site_fract_y
_atom_site_fract_z
Sr1 Sr 0.000 0.000 0.500
Sr2 Sr 0.000 0.500 0.000
Sr3 Sr 0.500 0.000 0.000
Sc1 Sc 0.000 0.000 0.000
Nb1 Nb 0.500 0.500 0.500
```

***

No. 3
A PBEsol-optimized structure of AgAu. Source: Alexandria, functional SCAN.

Total energy ... -200.1 eV per cell
Volume ... 19.64 A^3/atom
Total moment ... 0.00 μB per cell
E_form ... 0.2331 eV/atom
SG ... P6_3/mmc (194)

Cell and atoms, written as CIF:
```
data_AgAu
_cell_length_a 4.049
_cell_length_b 4.049
_cell_length_c 5.535
_cell_angle_alpha 90.00
_cell_angle_beta 90.00
_cell_angle_gamma 120.00
_symmetry_space_group_name_H-M 'P 1'
_symmetry_Int_Tables_number 1
loop_
_symmetry_equiv_pos_as_xyz
'x,y,z'
loop_
_atom_site_label
_atom_site_type_symbol
_atom_site_fract_x
_atom_site_fract_y
_atom_site_fract_z
Ag1 Ag 0.000 0.000 0.000
Ag2 Ag 0.000 0.000 0.500
Au1 Au 0.333 0.667 0.250
Au2 Au 0.667 0.333 0.750
```

***

No. 4
A PBEsol-optimized structure of TeAs2Rh. Source: Alexandria, functional SCAN.

Total energy ... -440.8 eV per cell
Volume ... 18.13 A^3/atom
Total moment ... 0.00 μB per cell
Formation energy (no corrections) ... 0.299 eV/atom
SG ... F-43m (216)

Cell and atoms, written as CIF:
```
data_TeAs2Rh
_cell_length_a 6.620
_cell_length_b 6.620
_cell_length_c 6.620
_cell_angle_alpha 90.00
_cell_angle_beta 90.00
_cell_angle_gamma 90.00
_symmetry_space_group_name_H-M 'P 1'
_symmetry_Int_Tables_number 1
loop_
_symmetry_equiv_pos_as_xyz
'x,y,z'
loop_
_atom_site_label
_atom_site_type_symbol
_atom_site_fract_x
_atom_site_fract_y
_atom_site_fract_z
Te1 Te 0.000 0.000 0.000
Te2 Te 0.000 0.500 0.500
Te3 Te 0.500 0.000 0.500
Te4 Te 0.500 0.500 0.000
As1 As 0.000 0.000 0.500
As2 As 0.000 0.500 0.000
As3 As 0.250 0.250 0.250
As4 As 0.250 0.750 0.750
As5 As 0.500 0.000 0.000
As6 As 0.500 0.500 0.500
As7 As 0.750 0.250 0.750
As8 As 0.750 0.750 0.250
Rh1 Rh 0.250 0.250 0.750
Rh2 Rh 0.250 0.750 0.250
Rh3 Rh 0.750 0.250 0.250
Rh4 Rh 0.750 0.750 0.750
```

***

No. 5
A PBEsol-optimized structure of Ba2Nb15O32. Source: Alexandria, functional SCAN.

Total energy ... -910.5 eV per cell
Volume ... 12.84 A^3/atom
Total moment ... 0.80 μB per cell
Formation energy (no corrections) ... -2.756 eV/atom
SG ... R-3 (148)

Cell and atoms, written as CIF:
```
data_Ba2Nb15O32
_cell_length_a 12.757
_cell_length_b 12.757
_cell_length_c 12.757
_cell_angle_alpha 35.61
_cell_angle_beta 35.61
_cell_angle_gamma 35.61
_symmetry_space_group_name_H-M 'P 1'
_symmetry_Int_Tables_number 1
loop_
_symmetry_equiv_pos_as_xyz
'x,y,z'
loop_
_atom_site_label
_atom_site_type_symbol
_atom_site_fract_x
_atom_site_fract_y
_atom_site_fract_z
Ba1 Ba 0.139 0.139 0.139
Ba2 Ba 0.861 0.861 0.861
Nb1 Nb 0.031 0.578 0.691
Nb2 Nb 0.060 0.813 0.226
Nb3 Nb 0.187 0.774 0.940
Nb4 Nb 0.226 0.060 0.813
Nb5 Nb 0.309 0.969 0.422
Nb6 Nb 0.361 0.361 0.361
Nb7 Nb 0.422 0.309 0.969
Nb8 Nb 0.500 0.500 0.500
Nb9 Nb 0.578 0.691 0.031
Nb10 Nb 0.639 0.639 0.639
Nb11 Nb 0.691 0.031 0.578
Nb12 Nb 0.774 0.940 0.187
Nb13 Nb 0.813 0.226 0.060
Nb14 Nb 0.940 0.187 0.774
Nb15 Nb 0.969 0.422 0.309
O1 O 0.028 0.147 0.442
O2 O 0.034 0.303 0.868
O3 O 0.132 0.966 0.697
O4 O 0.147 0.442 0.028
O5 O 0.156 0.269 0.573
O6 O 0.161 0.570 0.457
O7 O 0.262 0.262 0.262
O8 O 0.267 0.448 0.689
O9 O 0.269 0.573 0.156
O10 O 0.303 0.868 0.034
O11 O 0.311 0.733 0.552
O12 O 0.427 0.844 0.731
O13 O 0.430 0.543 0.839
O14 O 0.442 0.028 0.147
O15 O 0.448 0.689 0.267
O16 O 0.457 0.161 0.570
O17 O 0.543 0.839 0.430
O18 O 0.552 0.311 0.733
O19 O 0.558 0.972 0.853
O20 O 0.570 0.457 0.161
O21 O 0.573 0.156 0.269
O22 O 0.689 0.267 0.448
O23 O 0.697 0.132 0.966
O24 O 0.731 0.427 0.844
O25 O 0.733 0.552 0.311
O26 O 0.738 0.738 0.738
O27 O 0.839 0.430 0.543
O28 O 0.844 0.731 0.427
O29 O 0.853 0.558 0.972
O30 O 0.868 0.034 0.303
O31 O 0.966 0.697 0.132
O32 O 0.972 0.853 0.558
```

***

No. 6
A PBEsol-optimized structure of Tb5AgS8. Source: Alexandria, functional SCAN.

Total energy ... -371.4 eV per cell
Volume ... 19.79 A^3/atom
Total moment ... 0.00 μB per cell
Formation energy (no corrections) ... -2.083 eV/atom
SG ... I-4 (82)

Cell and atoms, written as CIF:
```
data_Tb5AgS8
_cell_length_a 7.114
_cell_length_b 7.114
_cell_length_c 7.114
_cell_angle_alpha 109.75
_cell_angle_beta 109.75
_cell_angle_gamma 108.92
_symmetry_space_group_name_H-M 'P 1'
_symmetry_Int_Tables_number 1
loop_
_symmetry_equiv_pos_as_xyz
'x,y,z'
loop_
_atom_site_label
_atom_site_type_symbol
_atom_site_fract_x
_atom_site_fract_y
_atom_site_fract_z
Tb1 Tb 0.000 0.000 0.000
Tb2 Tb 0.251 0.631 0.117
Tb3 Tb 0.369 0.486 0.620
Tb4 Tb 0.514 0.134 0.883
Tb5 Tb 0.866 0.749 0.380
Ag1 Ag 0.750 0.250 0.500
S1 S 0.119 0.227 0.752
S2 S 0.142 0.748 0.759
S3 S 0.252 0.012 0.395
S4 S 0.475 0.367 0.248
S5 S 0.617 0.858 0.605
S6 S 0.633 0.881 0.108
S7 S 0.773 0.525 0.892
S8 S 0.988 0.383 0.241
```